[1]
{
  "formula": "Ba2HgAu",
  "functional": "meta-GGA SCAN",
  "state": "single point on PBEsol structure",
  "lattice_angstrom": [[-0.1588, -4.5369, 1.1395], [3.8738, -2.1830, 1.4611], [-0.5098, -0.2788, 8.4316]],
  "species": ["Hg", "Au", "Ba", "Ba"],
  "fractional_positions": [[0.0000, 0.0000, 0.0000], [0.5000, 0.5000, 0.5000], [0.7573, 0.7573, 0.7281], [0.2427, 0.2427, 0.2719]],
  "magnetic_moment_mub_per_cell": 0.0,
  "e_tot_ev_per_atom": -54.806,
  "delta_e_f_kj_per_mol_atoms": -68,
  "dos_at_fermi_per_ev_cell": 2.69
}

[2]
{
  "formula": "LiTc2BiH",
  "functional": "meta-GGA SCAN",
  "state": "single point on PBEsol structure",
  "lattice_angstrom": [[4.1246, 0.0000, 0.0000], [0.0000, 4.1246, 0.0000], [0.0000, 0.0000, 4.5883]],
  "species": ["Bi", "H", "Li", "Tc", "Tc"],
  "fractional_positions": [[0.0000, 0.0000, 0.5000], [0.5000, 0.5000, 0.5000], [0.0000, 0.0000, 0.0000], [0.0000, 0.5000, 0.0000], [0.5000, 0.0000, 0.0000]],
  "magnetic_moment_mub_per_cell": 3.9,
  "e_tot_ev_per_atom": -29.106,
  "dos_at_fermi_per_ev_cell": 3.51
}

[3]
{
  "formula": "Sr4CaCr2S2O6",
  "functional": "meta-GGA SCAN",
  "state": "single point on PBEsol structure",
  "lattice_angstrom": [[-1.0858, 1.6330, -3.3421], [-3.7012, -0.8213, 0.8012], [-1.5670, 14.4430, 7.5661]],
  "species": ["Ca", "O", "Cr", "Sr", "O", "Sr", "Cr", "Sr", "S", "S", "Sr", "O", "O", "O", "O"],
  "fractional_positions": [[0.0000, 0.0000, 0.0000], [0.0000, 0.0000, 0.3022], [0.0000, 0.5000, 0.3201], [0.0000, 0.5000, 0.5829], [0.0000, 0.0000, 0.6978], [0.5000, 0.0000, 0.4171], [0.5000, 0.0000, 0.6799], [0.5000, 0.0000, 0.2045], [0.5000, 0.0000, 0.8860], [0.0000, 0.5000, 0.1140], [0.0000, 0.5000, 0.7955], [0.0000, 0.5000, 0.4339], [0.5000, 0.0000, 0.5661], [0.5000, 0.5000, 0.6977], [0.5000, 0.5000, 0.3023]],
  "magnetic_moment_mub_per_cell": 6.0,
  "e_tot_ev_per_atom": -15.520,
  "e_form_raw_ev_per_fu": -40.63,
  "dos_at_fermi_per_ev_cell": 0.00
}

[4]
{
  "formula": "Ta5Mo3",
  "functional": "meta-GGA SCAN",
  "state": "single point on PBEsol structure",
  "lattice_angstrom": [[4.5420, 0.0000, 0.0000], [2.2710, 3.9335, 0.0000], [2.2710, 1.3112, 7.4444]],
  "species": ["Ta", "Mo", "Ta", "Mo", "Ta", "Ta", "Mo", "Ta"],
  "fractional_positions": [[0.7509, 0.7509, 0.7474], [0.0031, 0.0031, 0.9906], [0.4962, 0.4962, 0.5114], [0.1237, 0.1237, 0.6290], [0.8782, 0.8782, 0.3655], [0.6255, 0.6255, 0.1236], [0.3728, 0.3728, 0.8815], [0.2497, 0.2497, 0.2510]],
  "magnetic_moment_mub_per_cell": 0.0,
  "e_tot_ev_per_atom": -54.810,
  "delta_e_f_kj_per_mol_atoms": -11,
  "dos_at_fermi_per_ev_cell": 7.48
}

[5]
{
  "formula": "InSnAu",
  "functional": "meta-GGA SCAN",
  "state": "single point on PBEsol structure",
  "lattice_angstrom": [[-2.1356, -1.2883, -3.8873], [1.9558, -4.1727, 0.3084], [-5.2201, -2.1814, 3.5908]],
  "species": ["Sn", "In", "Sn", "Au", "In", "Au"],
  "fractional_positions": [[0.5000, 0.5000, 0.2500], [0.0000, 0.0000, 0.7500], [0.5000, 0.5000, 0.7500], [0.5000, 0.0000, 0.5000], [0.0000, 0.0000, 0.2500], [0.0000, 0.5000, 0.0000]],
  "magnetic_moment_mub_per_cell": 0.0,
  "e_tot_ev_per_atom": -46.393,
  "delta_e_f_kj_per_mol_atoms": -23,
  "dos_at_fermi_per_ev_cell": 1.80
}

[6]
{
  "formula": "CaSc5",
  "functional": "meta-GGA SCAN",
  "state": "single point on PBEsol structure",
  "lattice_angstrom": [[5.1373, 0.0000, 0.0000], [0.0000, 6.1309, 0.0000], [0.0000, -3.0655, 5.3095]],
  "species": ["Sc", "Sc", "Sc", "Ca", "Sc", "Sc"],
  "fractional_positions": [[0.5000, 0.5000, 0.0000], [0.5000, 0.5000, 0.5000], [0.5000, 0.0000, 0.5000], [0.0000, 0.0000, 0.0000], [0.0000, 0.3333, 0.6667], [0.0000, 0.6667, 0.3333]],
  "magnetic_moment_mub_per_cell": 1.2,
  "e_tot_ev_per_atom": -13.121,
  "delta_e_f_kj_per_mol_atoms": 34,
  "dos_at_fermi_per_ev_cell": 11.16
}

[7]
{
  "formula": "Sc3ZnRe",
  "functional": "meta-GGA SCAN",
  "state": "single point on PBEsol structure",
  "lattice_angstrom": [[-0.8789, -2.0824, 4.1880], [4.6672, -0.6686, 0.6471], [0.3053, 4.2267, 2.1657]],
  "species": ["Re", "Sc", "Sc", "Zn", "Sc"],
  "fractional_positions": [[0.5000, 0.5000, 0.5000], [0.5000, 0.0000, 0.0000], [0.0000, 0.0000, 0.5000], [0.0000, 0.0000, 0.0000], [0.0000, 0.5000, 0.0000]],
  "magnetic_moment_mub_per_cell": 0.7,
  "e_tot_ev_per_atom": -24.561,
  "delta_e_f_kj_per_mol_atoms": 87,
  "dos_at_fermi_per_ev_cell": 5.80
}

[8]
{
  "formula": "ZnFeP2",
  "functional": "meta-GGA SCAN",
  "state": "single point on PBEsol structure",
  "lattice_angstrom": [[-0.3884, 1.6812, -2.6965], [1.7595, -2.9032, -2.0635], [-3.5339, -1.7348, -0.5726]],
  "species": ["P", "Zn", "Fe", "P"],
  "fractional_positions": [[0.0000, 0.5000, 0.5000], [0.5000, 0.5000, 0.0000], [0.5000, 0.0000, 0.5000], [0.0000, 0.0000, 0.0000]],
  "magnetic_moment_mub_per_cell": 2.4,
  "e_tot_ev_per_atom": -12.690,
  "delta_e_f_kj_per_mol_atoms": 41,
  "dos_at_fermi_per_ev_cell": 2.12
}